No. 1
DFT (GGA-PBE) results for a relaxed Ho3Mn3Ga2Ge crystal.

CIF file:
```
data_Ho3Mn3Ga2Ge
_chemical_formula_sum 'Ho3 Mn3 Ga2 Ge1'
_symmetry_space_group_name_H-M 'P -6'
_symmetry_Int_Tables_number 174
_symmetry_space_group_name_Hall 'P -6'
_cell_length_a 7.0045
_cell_length_b 7.0045
_cell_length_c 4.1124
_cell_angle_alpha 90.00
_cell_angle_beta 90.00
_cell_angle_gamma 120.00
loop_
_atom_site_label
_atom_site_type_symbol
_atom_site_fract_x
_atom_site_fract_y
_atom_site_fract_z
Ho1 Ho 0.0845 0.7494 0.0000
Mn1 Mn 0.4359 0.0986 0.5000
Ga1 Ga 0.0000 0.0000 0.5000
Ga2 Ga 0.6667 0.3333 0.0000
Ge1 Ge 0.3333 0.6667 0.5000
```

Its calculated volume is 19.42 A^3/atom. For the energy above the most stable polymorph in this dataset, the calculation gives 0.0 meV per atom. The total energy comes out at -55.18 eV per formula unit. The size of the total moment is 9.35 μB/f.u. The formation energy is -0.363 eV/atom.

=====

No. 2
DFT (GGA-PBE) results for a relaxed RbBe2CdGe crystal.

CIF file:
```
data_RbBe2CdGe
_chemical_formula_sum 'Rb1 Be2 Cd1 Ge1'
_symmetry_space_group_name_H-M 'P 4/m m m'
_symmetry_Int_Tables_number 123
_symmetry_space_group_name_Hall '-P 4 2'
_cell_length_a 4.462
_cell_length_b 4.462
_cell_length_c 6.772
_cell_angle_alpha 90.00
_cell_angle_beta 90.00
_cell_angle_gamma 90.00
loop_
_atom_site_label
_atom_site_type_symbol
_atom_site_fract_x
_atom_site_fract_y
_atom_site_fract_z
Rb1 Rb 0.000 0.000 0.000
Be1 Be 0.000 0.500 0.500
Cd1 Cd 0.500 0.500 0.000
Ge1 Ge 0.000 0.000 0.500
```

Its calculated volume is 26.97 A^3/atom. The total energy comes out at -10.32 eV per formula unit. The size of the total moment is 0.00 μB/f.u. The formation energy is 0.726 eV/atom.

=====

No. 3
DFT (GGA-PBE) results for a relaxed LaRhOF2 crystal.

CIF file:
```
data_LaRhOF2
_chemical_formula_sum 'La1 Rh1 O1 F2'
_symmetry_space_group_name_H-M 'P 4/m m m'
_symmetry_Int_Tables_number 123
_symmetry_space_group_name_Hall '-P 4 2'
_cell_length_a 4.244
_cell_length_b 4.244
_cell_length_c 4.154
_cell_angle_alpha 90.00
_cell_angle_beta 90.00
_cell_angle_gamma 90.00
loop_
_atom_site_label
_atom_site_type_symbol
_atom_site_fract_x
_atom_site_fract_y
_atom_site_fract_z
La1 La 0.000 0.000 0.000
Rh1 Rh 0.500 0.500 0.500
O1 O 0.500 0.500 0.000
F1 F 0.000 0.500 0.500
```

Its calculated volume is 14.97 A^3/atom. The value obtained for the formation energy from raw total energies is -1721 meV per atom. For the energy above the most stable polymorph in this dataset, the calculation gives 124.4 meV per atom. The total energy comes out at -29.58 eV per formula unit. The size of the total moment is 0.01 μB/f.u.

=====

Q: Which formula does entry 3 have?
A: LaRhOF2